1.
GGA-PBEsol CaMoS2, relaxed; formation energy without anion corrections = -272 meV per atom; crystal system = trigonal
1.0
1.801 1.040 8.007
-1.801 1.040 8.007
0.000 -2.080 8.007
Ca Mo S
1 1 2
Direct
0.000 0.000 0.000 Ca
0.500 0.500 0.500 Mo
0.406 0.406 0.406 S
0.594 0.594 0.594 S

2.
GGA-PBEsol CaSbMo2, relaxed; formation energy without anion corrections = 506 meV per atom; crystal system = orthorhombic
1.0
-1.788 2.254 4.664
1.788 -2.254 4.664
1.788 2.254 -4.664
Ca Sb Mo
1 1 2
Direct
0.000 0.000 0.000 Ca
0.500 0.500 0.000 Sb
0.255 0.755 0.500 Mo
0.745 0.245 0.500 Mo

3.
GGA-PBEsol CaSbMo2, relaxed; formation energy without anion corrections = 588 meV per atom; crystal system = monoclinic
1.0
2.898 -4.844 0.000
2.898 4.844 0.000
-1.099 0.000 2.666
Ca Sb Mo
1 1 2
Direct
0.000 0.000 0.000 Ca
0.500 0.500 0.000 Sb
0.000 0.500 0.500 Mo
0.500 0.000 0.500 Mo

4.
GGA-PBEsol CaSbMo2, relaxed; formation energy without anion corrections = 319 meV per atom; crystal system = monoclinic
1.0
5.001 -1.660 0.000
5.001 1.660 0.000
-1.055 0.000 5.148
Ca Sb Mo
1 1 2
Direct
0.000 0.000 0.000 Ca
0.500 0.500 0.500 Sb
0.238 0.238 0.660 Mo
0.762 0.762 0.340 Mo

5.
GGA-PBEsol Ca2SbMo, relaxed; formation energy without anion corrections = 227 meV per atom; crystal system = tetragonal
1.0
-2.497 2.497 3.547
2.497 -2.497 3.547
2.497 2.497 -3.547
Ca Sb Mo
2 1 1
Direct
0.000 0.000 0.000 Ca
0.750 0.250 0.500 Ca
0.250 0.750 0.500 Sb
0.500 0.500 0.000 Mo

6.
GGA-PBEsol CaSbMo2, relaxed; formation energy without anion corrections = 714 meV per atom; crystal system = trigonal
1.0
1.568 0.905 9.282
-1.568 0.905 9.282
0.000 -1.810 9.282
Ca Sb Mo
1 1 2
Direct
0.000 0.000 0.000 Ca
0.500 0.500 0.500 Sb
0.241 0.241 0.241 Mo
0.759 0.759 0.759 Mo

7.
GGA-PBEsol Ca2SbMo, relaxed; formation energy without anion corrections = 3 meV per atom; crystal system = tetragonal
1.0
3.553 0.000 0.000
0.000 3.553 0.000
0.000 0.000 8.341
Ca Sb Mo
2 1 1
Direct
0.000 0.000 0.000 Ca
0.500 0.500 0.379 Ca
0.500 0.500 0.756 Sb
0.000 0.000 0.621 Mo

8.
GGA-PBEsol CaSc2Mo, relaxed; ΔE_f = 1.71 eV per formula unit; crystal system = monoclinic
1.0
4.847 -1.506 0.000
4.847 1.506 0.000
-0.294 0.000 6.339
Ca Sc Mo
1 2 1
Direct
0.000 0.000 0.000 Ca
0.506 0.506 0.552 Sc
0.759 0.759 0.319 Sc
0.246 0.246 0.698 Mo

Summary of Fermi-level density of states in states/eV/cell
3.2 3.7 3.5 3.2 5.9 2.8 3.6 3.1
(order as listed above)